Below is GaReIr3 after structural relaxation, with properties calculated at the PBE-GGA level.

POSCAR file:
```
GaReIr3
1.0
4.4768 0.0000 0.0000
0.0000 4.4768 0.0000
0.0000 0.0000 4.4768
Re Ir Ga
1 3 1
direct
0.5000 0.5000 0.5000
0.0000 0.5000 0.0000
0.0000 0.0000 0.5000
0.5000 0.0000 0.0000
0.0000 0.0000 0.0000
```

Results
Magnetization   3.450 μB per formula unit
Excess energy over the best structure of this formula in the dataset   85 meV/atom
E   -6.754 eV per atom
SG   Pm-3m